A plane-wave DFT calculation with GGA-PBE was carried out for a relaxed Sc2SiSn crystal.

a b c (Å): 3.4441 3.4441 28.4130
angles (deg): 90.00 90.00 120.00
Space group R-3m (No. 166, hexagonal axes)
Inequivalent atoms, fractional coordinates:
Sc 0.0000 0.0000 0.1034
Si 0.0000 0.0000 0.5000
Sn 0.0000 0.0000 0.0000

## Properties
Electronic total energy, eV/atom: -5.66
Spin magnetization, μB per cell: 0.000



A plane-wave DFT calculation with GGA-PBE was carried out for a relaxed ScTl2SiSn crystal.

a b c (Å): 5.5884 5.5884 5.0957
angles (deg): 90.00 90.00 90.00
Space group P4/mmm (No. 123)
Inequivalent atoms, fractional coordinates:
Sc 0.0000 0.0000 0.0000
Tl 0.0000 0.5000 0.0000
Si 0.0000 0.0000 0.5000
Sn 0.5000 0.5000 0.5000

## Properties
Electronic total energy, eV/atom: -3.56
Spin magnetization, μB per cell: 0.000



A plane-wave DFT calculation with GGA-PBE was carried out for a relaxed ScVSiSn2 crystal.

a b c (Å): 5.4237 5.4237 4.5349
angles (deg): 90.00 90.00 90.00
Space group P4/mmm (No. 123)
Inequivalent atoms, fractional coordinates:
Sc 0.0000 0.0000 0.0000
V 0.0000 0.0000 0.5000
Si 0.5000 0.5000 0.5000
Sn 0.0000 0.5000 0.0000

## Properties
Electronic total energy, eV/atom: -4.65
Spin magnetization, μB per cell: 2.352



A plane-wave DFT calculation with GGA-PBE was carried out for a relaxed SrSc2Si2 crystal.

a b c (Å): 4.5121 4.5121 11.7404
angles (deg): 90.00 90.00 90.00
Space group I4/mmm (No. 139)
Inequivalent atoms, fractional coordinates:
Sr 0.0000 0.0000 0.0000
Sc 0.0000 0.5000 0.2500
Si 0.0000 0.0000 0.3892

## Properties
Electronic total energy, eV/atom: -5.55
Spin magnetization, μB per cell: 0.000
ΔE to the lowest computed polymorph, eV per atom: 0.000



A plane-wave DFT calculation with GGA-PBE was carried out for a relaxed SrSc3Si crystal.

a b c (Å): 5.0691 5.0691 5.0691
angles (deg): 90.00 90.00 90.00
Space group Pm-3m (No. 221)
Inequivalent atoms, fractional coordinates:
Sr 0.0000 0.0000 0.0000
Sc 0.0000 0.0000 0.5000
Si 0.5000 0.5000 0.5000

## Properties
Electronic total energy, eV/atom: -3.70
Spin magnetization, μB per cell: 0.000
ΔE to the lowest computed polymorph, eV per atom: 1.526



A plane-wave DFT calculation with GGA-PBE was carried out for a relaxed SrSc2Si crystal.

a b c (Å): 3.3622 3.3622 9.2900
angles (deg): 90.00 90.00 90.00
Space group P4/mmm (No. 123)
Inequivalent atoms, fractional coordinates:
Sr 0.0000 0.0000 0.0000
Sc 0.5000 0.5000 0.3304
Si 0.0000 0.0000 0.5000

## Properties
Electronic total energy, eV/atom: -5.07
Spin magnetization, μB per cell: 0.000



A plane-wave DFT calculation with GGA-PBE was carried out for a relaxed SrSc3Si crystal.

a b c (Å): 5.2501 5.2501 5.2501
angles (deg): 90.00 90.00 90.00
Space group Pm-3m (No. 221)
Inequivalent atoms, fractional coordinates:
Sr 0.0000 0.0000 0.0000
Sc 0.0000 0.5000 0.5000
Si 0.5000 0.5000 0.5000

## Properties
Electronic total energy, eV/atom: -5.23
Spin magnetization, μB per cell: 0.002
ΔE to the lowest computed polymorph, eV per atom: 0.000



A plane-wave DFT calculation with GGA-PBE was carried out for a relaxed SrSc2Si crystal.

a b c (Å): 5.2560 5.2560 19.2782
angles (deg): 90.00 90.00 90.00
Space group I-42d (No. 122)
Inequivalent atoms, fractional coordinates:
Sr 0.0000 0.0000 0.0000
Sc 0.0013 0.2500 0.6250
Si 0.0000 0.0000 0.5000

## Properties
Electronic total energy, eV/atom: -4.58
Spin magnetization, μB per cell: 7.663



A plane-wave DFT calculation with GGA-PBE was carried out for a relaxed SrScSi2 crystal.

a b c (Å): 3.4065 3.4065 8.0333
angles (deg): 90.00 90.00 90.00
Space group P4mm (No. 99)
Inequivalent atoms, fractional coordinates:
Sr 0.0000 0.0000 0.0000
Sc 0.5000 0.5000 0.3840
Si 0.0000 0.0000 0.5959
Si 0.5000 0.5000 0.7165

## Properties
Electronic total energy, eV/atom: -4.79
Spin magnetization, μB per cell: 0.044
ΔE to the lowest computed polymorph, eV per atom: 0.402



A plane-wave DFT calculation with GGA-PBE was carried out for a relaxed SrScSi2 crystal.

a b c (Å): 3.7124 4.2690 12.1597
angles (deg): 90.00 90.00 90.00
Space group Imm2 (No. 44)
Inequivalent atoms, fractional coordinates:
Sr 0.0000 0.0000 0.0000
Sc 0.0000 0.5000 0.7586
Si 0.0000 0.0000 0.6146
Si 0.0000 0.5000 0.2486

## Properties
Electronic total energy, eV/atom: -5.12
Spin magnetization, μB per cell: 0.000
ΔE to the lowest computed polymorph, eV per atom: 0.079



A plane-wave DFT calculation with GGA-PBE was carried out for a relaxed SrScSi2 crystal.

a b c (Å): 5.1361 5.1361 17.8360
angles (deg): 90.00 90.00 90.00
Space group I-42d (No. 122)
Inequivalent atoms, fractional coordinates:
Sr 0.0000 0.0000 0.0000
Sc 0.0000 0.0000 0.5000
Si 0.0831 0.2500 0.6250

## Properties
Electronic total energy, eV/atom: -4.73
Spin magnetization, μB per cell: 0.000
ΔE to the lowest computed polymorph, eV per atom: 0.469



A plane-wave DFT calculation with GGA-PBE was carried out for a relaxed SrScSi2 crystal.

a b c (Å): 3.2998 4.9475 5.8753
angles (deg): 90.00 90.00 90.00
Space group Pmmm (No. 47)
Inequivalent atoms, fractional coordinates:
Sr 0.0000 0.0000 0.0000
Sc 0.5000 0.5000 0.5000
Si 0.0000 0.0000 0.5000
Si 0.5000 0.5000 0.0000

## Properties
Electronic total energy, eV/atom: -4.71
Spin magnetization, μB per cell: 0.000
ΔE to the lowest computed polymorph, eV per atom: 0.483